The following is a GGA-PBE calculation of a relaxed structure of Rb2SbCl6, from the Alexandria database.

## Properties
As for the final energy: -29.22 eV/f.u. Its crystal system is cubic. Its raw formation energy is -1.342 eV/atom.

abc: 10.4592 10.4592 10.4592
angles: 90.00 90.00 90.00
Space group Fm-3m (No. 225)
Asymmetric unit:
Rb 0.2500 0.2500 0.2500 x8
Sb 0.0000 0.0000 0.0000 x4
Cl 0.0000 0.0000 0.2429 x24